# TbEuAlZn | Alexandria | PBE | optimized geometry
# ΔE_f   -0.2765 eV per atom
# Calculated total energy   -5.26 eV per atom
# M_tot   7.4 Bohr magnetons per cell
data_TbEuAlZn
_cell_length_a 5.216
_cell_length_b 5.216
_cell_length_c 5.216
_cell_angle_alpha 60.00
_cell_angle_beta 60.00
_cell_angle_gamma 60.00
_space_group_name_H-M_alt 'P 1'
_space_group_IT_number 1
loop_
_space_group_symop_operation_xyz
'x,y,z'
loop_
_atom_site_label
_atom_site_type_symbol
_atom_site_fract_x
_atom_site_fract_y
_atom_site_fract_z
_atom_site_occupancy
Eu1 Eu 0.750 0.750 0.750 1
Tb1 Tb 0.250 0.250 0.250 1
Zn1 Zn 0.000 0.000 0.000 1
Al1 Al 0.500 0.500 0.500 1